DFT (PBE-GGA) results for a geometry-optimized YCrSe2 structure.

The space group is F-43m (No. 216) and the conventional cell measures 7.0336, 7.0336 and 7.0336 Å, with angles of 90.00, 90.00 and 90.00 degrees. The distinct sites, in fractional coordinates, are Y at (0.0000, 0.0000, 0.0000), Cr at (0.2500, 0.2500, 0.2500), Se at (0.0000, 0.0000, 0.5000) and Se at (0.2500, 0.2500, 0.7500).

The crystal system is cubic. For the size of the total moment, the calculation gives 1.243 μB/atom. The value obtained for the distance to the lowest polymorph of the same formula is 0.848 eV per atom. The total energy comes out at -5.967 eV per atom. The calculation puts the uncorrected formation energy at -0.203 eV/atom.

---

DFT (PBE-GGA) results for a geometry-optimized Er4AlInAg2 structure.

The space group is R-3m (No. 166, hexagonal axes) and the conventional cell measures 5.1584, 5.1584 and 25.2293 Å, with angles of 90.00, 90.00 and 120.00 degrees. The distinct sites, in fractional coordinates, are Er at (0.0000, 0.0000, 0.1227), Er at (0.0000, 0.0000, 0.3726), Al at (0.0000, 0.0000, 0.0000), In at (0.0000, 0.0000, 0.5000) and Ag at (0.0000, 0.0000, 0.2505).

The calculation puts the formation energy at -36.3 kJ/mol of atoms. The crystal system is trigonal. For the size of the total moment, the calculation gives 0.000 μB/atom. The total energy comes out at -4.180 eV per atom.

---

DFT (PBE-GGA) results for a geometry-optimized PuPaAl2 structure.

The space group is Fm-3m (No. 225) and the conventional cell measures 7.1116, 7.1116 and 7.1116 Å, with angles of 90.00, 90.00 and 90.00 degrees. The distinct sites, in fractional coordinates, are Pu at (0.0000, 0.0000, 0.0000), Pa at (0.0000, 0.0000, 0.5000) and Al at (0.2500, 0.2500, 0.2500).

The calculation puts the formation energy at -2.5 kJ/mol of atoms. The crystal system is cubic. For the size of the total moment, the calculation gives 1.444 μB/atom. The value obtained for the distance to the lowest polymorph of the same formula is 0.178 eV per atom. The total energy comes out at -7.855 eV per atom.

---

DFT (PBE-GGA) results for a geometry-optimized HgRu2Cl structure.

The space group is Imm2 (No. 44) and the conventional cell measures 2.9355, 4.7475 and 11.5595 Å, with angles of 90.00, 90.00 and 90.00 degrees. The distinct sites, in fractional coordinates, are Hg at (0.0000, 0.0000, 0.0000), Ru at (0.0000, 0.0000, 0.4537), Ru at (0.0000, 0.5000, 0.1330) and Cl at (0.0000, 0.5000, 0.7745).

The crystal system is orthorhombic. For the size of the total moment, the calculation gives 0.652 μB/atom. The value obtained for the distance to the lowest polymorph of the same formula is 0.480 eV per atom. The total energy comes out at -4.489 eV per atom. The calculation puts the uncorrected formation energy at 0.687 eV/atom.